# MoAu3Se

A crystal of MoAu3Se relaxed with PBEsol (SCAN, Alexandria).

a = 4.927 Å, b = 4.927 Å, c = 4.927 Å
α = 90.00°, β = 90.00°, γ = 90.00°
Space group Pm-3m (No. 221)
Unique sites:
1 Mo 0.000 0.000 0.000
2 Au 0.000 0.000 0.500
3 Se 0.500 0.500 0.500

## Properties
formation energy without anion corrections: 1.35 eV/atom
total magnetization: 0.0 μB per formula unit
raw total energy: -255.68 eV/f.u.